Here is crystalline Dy3TaTl3S8 at its relaxed geometry from Alexandria. Energies are from PBE-GGA.

The structure in POSCAR format:
```
Dy3TaTl3S8
1.0
3.8853 2.2432 7.6817
-3.8853 2.2432 7.6817
0.0000 -4.4863 7.6817
Dy Ta Tl S
3 1 3 8
Direct
0.0000 0.5000 0.5000
0.5000 0.0000 0.5000
0.5000 0.5000 0.0000
0.0000 0.0000 0.0000
0.0000 0.0000 0.5000
0.0000 0.5000 0.0000
0.5000 0.0000 0.0000
0.2159 0.2159 0.7573
0.2159 0.7573 0.2159
0.2427 0.7841 0.7841
0.2667 0.2667 0.2667
0.7333 0.7333 0.7333
0.7573 0.2159 0.2159
0.7841 0.2427 0.7841
0.7841 0.7841 0.2427
```

Calculated density ... 6.359 g/cm³
Magnetization ... 0.55 μB per formula unit
Total energy ... -5.732 eV per atom
Formation energy (no corrections) ... -20.20 eV/f.u.

Here is crystalline TbDy4S7 at its relaxed geometry from Alexandria. Energies are from PBE-GGA.

The structure in POSCAR format:
```
TbDy4S7
1.0
6.4402 -1.9061 0.0000
6.4402 1.9061 0.0000
-2.9274 0.0000 11.2479
Tb Dy S
1 4 7
Direct
0.0000 0.0000 0.0000
0.1121 0.1121 0.4214
0.2236 0.2236 0.8419
0.4121 0.4121 0.6089
0.8120 0.8120 0.2336
0.0700 0.0700 0.6360
0.1541 0.1541 0.2068
0.3700 0.3700 0.0690
0.4530 0.4530 0.3702
0.6120 0.6120 0.9201
0.7712 0.7712 0.4722
0.8521 0.8521 0.7727
```

Calculated density ... 6.214 g/cm³
Magnetization ... 0.00 μB per formula unit
Total energy ... -6.402 eV per atom
Formation energy (no corrections) ... -24.90 eV/f.u.

Here is crystalline Tb3Dy2S6 at its relaxed geometry from Alexandria. Energies are from PBE-GGA.

The structure in POSCAR format:
```
Tb3Dy2S6
1.0
3.3972 -5.8623 0.0000
3.3972 5.8623 0.0000
-2.2552 0.0000 6.3616
Tb Dy S
3 2 6
Direct
0.0000 0.0000 0.0000
0.3374 0.6626 0.0000
0.6626 0.3374 0.0000
0.1656 0.8344 0.5000
0.8344 0.1656 0.5000
0.0824 0.4168 0.2503
0.2490 0.2490 0.7440
0.4168 0.0824 0.2503
0.5832 0.9176 0.7497
0.7510 0.7510 0.2560
0.9176 0.5832 0.7497
```

Calculated density ... 6.515 g/cm³
Magnetization ... 0.00 μB per formula unit
Total energy ... -6.428 eV per atom
Formation energy (no corrections) ... -22.85 eV/f.u.

Here is crystalline Tb2DyS3 at its relaxed geometry from Alexandria. Energies are from PBE-GGA.

The structure in POSCAR format:
```
Tb2DyS3
1.0
3.9289 0.0000 0.0000
0.0000 5.5342 0.0000
0.0000 0.0000 11.7426
Tb Dy S
4 2 6
Direct
0.0000 0.0000 0.1673
0.0000 0.0000 0.8327
0.5000 0.5000 0.3327
0.5000 0.5000 0.6673
0.0000 0.0000 0.5000
0.5000 0.5000 0.0000
0.0000 0.5000 0.1654
0.0000 0.5000 0.5000
0.0000 0.5000 0.8346
0.5000 0.0000 0.0000
0.5000 0.0000 0.3346
0.5000 0.0000 0.6654
```

Calculated density ... 7.499 g/cm³
Magnetization ... 0.00 μB per formula unit
Total energy ... -6.377 eV per atom
Formation energy (no corrections) ... -12.02 eV/f.u.

Here is crystalline TbDy5S6 at its relaxed geometry from Alexandria. Energies are from PBE-GGA.

The structure in POSCAR format:
```
TbDy5S6
1.0
3.3835 -5.8748 0.0000
3.3835 5.8748 0.0000
-2.2734 0.0000 6.3657
Tb Dy S
1 5 6
Direct
0.0000 0.0000 0.0000
0.1660 0.8340 0.5000
0.3335 0.6665 0.0000
0.5000 0.5000 0.5000
0.6665 0.3335 0.0000
0.8340 0.1660 0.5000
0.0835 0.4182 0.2508
0.2511 0.2511 0.7496
0.4182 0.0835 0.2508
0.5818 0.9165 0.7492
0.7489 0.7489 0.2504
0.9165 0.5818 0.7492
```

Calculated density ... 7.636 g/cm³
Magnetization ... 0.00 μB per formula unit
Total energy ... -6.366 eV per atom
Formation energy (no corrections) ... -23.99 eV/f.u.

Here is crystalline TbDy2S at its relaxed geometry from Alexandria. Energies are from PBE-GGA.

The structure in POSCAR format:
```
TbDy2S
1.0
3.6547 0.0000 0.0000
-1.8274 3.1651 0.0000
0.0000 0.0000 30.1384
Tb Dy S
3 6 3
Direct
0.0000 0.0000 0.0000
0.3333 0.6667 0.6667
0.6667 0.3333 0.3333
0.0000 0.0000 0.1121
0.0000 0.0000 0.8879
0.3333 0.6667 0.5546
0.3333 0.6667 0.7788
0.6667 0.3333 0.2212
0.6667 0.3333 0.4454
0.0000 0.0000 0.5000
0.3333 0.6667 0.1667
0.6667 0.3333 0.8333
```

Calculated density ... 7.373 g/cm³
Magnetization ... 0.79 μB per formula unit
Total energy ... -5.215 eV per atom
Formation energy (no corrections) ... -2.90 eV/f.u.

Here is crystalline Tb3Dy5S8 at its relaxed geometry from Alexandria. Energies are from PBE-GGA.

The structure in POSCAR format:
```
Tb3Dy5S8
1.0
3.9138 2.2596 6.3921
-3.9138 2.2596 6.3921
0.0000 -4.5193 6.3921
Tb Dy S
3 5 8
Direct
0.0000 0.5000 0.5000
0.5000 0.0000 0.5000
0.5000 0.5000 0.0000
0.0000 0.0000 0.0000
0.0000 0.0000 0.5000
0.0000 0.5000 0.0000
0.5000 0.0000 0.0000
0.5000 0.5000 0.5000
0.2485 0.7500 0.7500
0.2492 0.2492 0.2492
0.2500 0.2500 0.7515
0.2500 0.7515 0.2500
0.7500 0.2485 0.7500
0.7500 0.7500 0.2485
0.7508 0.7508 0.7508
0.7515 0.2500 0.2500
```

Calculated density ... 7.568 g/cm³
Magnetization ... 0.00 μB per formula unit
Total energy ... -6.365 eV per atom
Formation energy (no corrections) ... -31.92 eV/f.u.

Here is crystalline Tb5Dy3S8 at its relaxed geometry from Alexandria. Energies are from PBE-GGA.

The structure in POSCAR format:
```
Tb5Dy3S8
1.0
3.9193 2.2628 6.4011
-3.9193 2.2628 6.4011
0.0000 -4.5257 6.4011
Tb Dy S
5 3 8
Direct
0.0000 0.0000 0.0000
0.0000 0.5000 0.5000
0.5000 0.0000 0.5000
0.5000 0.5000 0.0000
0.5000 0.5000 0.5000
0.0000 0.0000 0.5000
0.0000 0.5000 0.0000
0.5000 0.0000 0.0000
0.2484 0.7500 0.7500
0.2492 0.2492 0.2492
0.2500 0.2500 0.7516
0.2500 0.7516 0.2500
0.7500 0.2484 0.7500
0.7500 0.7500 0.2484
0.7508 0.7508 0.7508
0.7516 0.2500 0.2500
```

Calculated density ... 7.501 g/cm³
Magnetization ... 0.00 μB per formula unit
Total energy ... -6.373 eV per atom
Formation energy (no corrections) ... -31.99 eV/f.u.

Here is crystalline Tb2DyS4 at its relaxed geometry from Alexandria. Energies are from PBE-GGA.

The structure in POSCAR format:
```
Tb2DyS4
1.0
-3.9377 3.9456 5.4804
3.9377 -3.9456 5.4804
3.9377 3.9456 -5.4804
Tb Dy S
4 2 8
Direct
0.0000 0.0000 0.0000
0.5000 0.0000 0.0000
0.5000 0.0000 0.5000
0.5000 0.5000 0.5000
0.0000 0.0000 0.5000
0.0000 0.5000 0.0000
0.2464 0.7476 0.4988
0.2494 0.2415 0.4921
0.2494 0.7573 0.0079
0.2512 0.2524 0.9988
0.7488 0.7476 0.0012
0.7506 0.2427 0.9921
0.7506 0.7585 0.5079
0.7536 0.2524 0.5012
```

Calculated density ... 5.935 g/cm³
Offset from the most stable computed form ... 0 meV/atom
Magnetization ... 0.00 μB per formula unit
Total energy ... -6.409 eV per atom
Formation energy (no corrections) ... -14.49 eV/f.u.

Here is crystalline Tb3DyS at its relaxed geometry from Alexandria. Energies are from PBE-GGA.

The structure in POSCAR format:
```
Tb3DyS
1.0
5.3209 0.0000 0.0000
0.0000 5.3209 0.0000
0.0000 0.0000 5.3209
Tb Dy S
3 1 1
Direct
0.0000 0.0000 0.5000
0.0000 0.5000 0.0000
0.5000 0.0000 0.0000
0.5000 0.5000 0.5000
0.0000 0.0000 0.0000
```

Calculated density ... 7.400 g/cm³
Magnetization ... 0.00 μB per formula unit
Total energy ... -5.180 eV per atom
Formation energy (no corrections) ... -3.28 eV/f.u.

Here is crystalline Tb2Dy6S3 at its relaxed geometry from Alexandria. Energies are from PBE-GGA.

The structure in POSCAR format:
```
Tb2Dy6S3
1.0
1.8679 1.0784 24.4539
-1.8679 1.0784 24.4539
0.0000 -2.1569 24.4539
Tb Dy S
2 6 3
Direct
0.0580 0.0580 0.0580
0.9420 0.9420 0.9420
0.1431 0.1431 0.1431
0.3142 0.3142 0.3142
0.4311 0.4311 0.4311
0.5689 0.5689 0.5689
0.6858 0.6858 0.6858
0.8569 0.8569 0.8569
0.2125 0.2125 0.2125
0.5000 0.5000 0.5000
0.7875 0.7875 0.7875
```

Calculated density ... 7.804 g/cm³
Magnetization ... 0.00 μB per formula unit
Total energy ... -5.518 eV per atom
Formation energy (no corrections) ... -11.44 eV/f.u.

Here is crystalline TbDyS2 at its relaxed geometry from Alexandria. Energies are from PBE-GGA.

The structure in POSCAR format:
```
TbDyS2
1.0
6.7798 0.0000 0.0000
0.0000 3.9288 0.0000
-2.2791 0.0000 6.3736
Tb Dy S
2 2 4
Direct
0.0000 0.0000 0.0000
0.5000 0.5000 0.0000
0.0000 0.5000 0.5000
0.5000 0.0000 0.5000
0.2493 0.0000 0.7478
0.2507 0.5000 0.2522
0.7493 0.5000 0.7478
0.7507 0.0000 0.2522
```

Calculated density ... 7.542 g/cm³
Offset from the most stable computed form ... 0 meV/atom
Magnetization ... 0.00 μB per formula unit
Total energy ... -6.375 eV per atom
Formation energy (no corrections) ... -8.01 eV/f.u.

Here is crystalline Tb4DyS4 at its relaxed geometry from Alexandria. Energies are from PBE-GGA.

The structure in POSCAR format:
```
Tb4DyS4
1.0
-4.3464 4.3464 2.7641
4.3464 -4.3464 2.7641
4.3464 4.3464 -2.7641
Tb Dy S
4 1 4
Direct
0.1028 0.3017 0.4045
0.3017 0.8972 0.1989
0.6983 0.1028 0.8011
0.8972 0.6983 0.5955
0.5000 0.5000 0.0000
0.1995 0.5984 0.7979
0.4016 0.1995 0.6012
0.5984 0.8005 0.3988
0.8005 0.4016 0.2021
```

Calculated density ... 7.365 g/cm³
Magnetization ... 0.00 μB per formula unit
Total energy ... -6.176 eV per atom
Formation energy (no corrections) ... -15.95 eV/f.u.

Here is crystalline TbDy3S6 at its relaxed geometry from Alexandria. Energies are from PBE-GGA.

The structure in POSCAR format:
```
TbDy3S6
1.0
11.0304 0.0000 0.0000
0.0000 3.9542 0.0000
-3.6178 0.0000 10.7113
Tb Dy S
2 6 12
Direct
0.0445 0.2500 0.1904
0.9555 0.7500 0.8096
0.1607 0.2500 0.5841
0.3178 0.7500 0.9968
0.4332 0.2500 0.3315
0.5668 0.7500 0.6685
0.6822 0.2500 0.0032
0.8393 0.7500 0.4159
0.0822 0.7500 0.4018
0.1114 0.2500 0.9627
0.1910 0.7500 0.7493
0.2550 0.7500 0.2235
0.3983 0.2500 0.5632
0.4776 0.2500 0.1126
0.5224 0.7500 0.8874
0.6017 0.7500 0.4368
0.7450 0.2500 0.7765
0.8090 0.2500 0.2507
0.8886 0.7500 0.0373
0.9178 0.2500 0.5982
```

Calculated density ... 5.963 g/cm³
Magnetization ... 0.00 μB per formula unit
Total energy ... -6.395 eV per atom
Formation energy (no corrections) ... -20.75 eV/f.u.

Here is crystalline Tb4Dy2S9 at its relaxed geometry from Alexandria. Energies are from PBE-GGA.

The structure in POSCAR format:
```
Tb4Dy2S9
1.0
6.9367 0.0000 0.0000
-3.4683 6.0073 0.0000
0.0000 0.0000 18.5567
Tb Dy S
8 4 18
Direct
0.3333 0.6667 0.1842
0.3333 0.6667 0.4822
0.3333 0.6667 0.6842
0.3333 0.6667 0.9822
0.6667 0.3333 0.0178
0.6667 0.3333 0.3158
0.6667 0.3333 0.5178
0.6667 0.3333 0.8158
0.0000 0.0000 0.1495
0.0000 0.0000 0.3505
0.0000 0.0000 0.6495
0.0000 0.0000 0.8505
0.0000 0.2993 0.2500
0.0000 0.7007 0.7500
0.0337 0.3652 0.5833
0.0337 0.6686 0.0833
0.2993 0.0000 0.2500
0.2993 0.2993 0.7500
0.3314 0.3652 0.0833
0.3314 0.9663 0.5833
0.3652 0.0337 0.9167
0.3652 0.3314 0.4167
0.6348 0.6686 0.5833
0.6348 0.9663 0.0833
0.6686 0.0337 0.4167
0.6686 0.6348 0.9167
0.7007 0.0000 0.7500
0.7007 0.7007 0.2500
0.9663 0.3314 0.9167
0.9663 0.6348 0.4167
```

Calculated density ... 5.365 g/cm³
Magnetization ... 0.00 μB per formula unit
Total energy ... -6.385 eV per atom
Formation energy (no corrections) ... -30.91 eV/f.u.

Here is crystalline TbDy2S3 at its relaxed geometry from Alexandria. Energies are from PBE-GGA.

The structure in POSCAR format:
```
TbDy2S3
1.0
3.9230 0.0000 0.0000
0.0000 5.5234 0.0000
0.0000 0.0000 11.7158
Tb Dy S
2 4 6
Direct
0.0000 0.0000 0.0000
0.5000 0.5000 0.5000
0.0000 0.0000 0.3340
0.0000 0.0000 0.6660
0.5000 0.5000 0.1660
0.5000 0.5000 0.8340
0.0000 0.5000 0.0000
0.0000 0.5000 0.3321
0.0000 0.5000 0.6679
0.5000 0.0000 0.1679
0.5000 0.0000 0.5000
0.5000 0.0000 0.8321
```

Calculated density ... 7.589 g/cm³
Magnetization ... 0.00 μB per formula unit
Total energy ... -6.367 eV per atom
Formation energy (no corrections) ... -11.99 eV/f.u.

Here is crystalline TbDy3S at its relaxed geometry from Alexandria. Energies are from PBE-GGA.

The structure in POSCAR format:
```
TbDy3S
1.0
5.2993 0.0000 0.0000
0.0000 5.2993 0.0000
0.0000 0.0000 5.2993
Tb Dy S
1 3 1
Direct
0.0000 0.0000 0.0000
0.0000 0.5000 0.5000
0.5000 0.0000 0.5000
0.5000 0.5000 0.0000
0.5000 0.5000 0.5000
```

Calculated density ... 7.571 g/cm³
Magnetization ... 0.00 μB per formula unit
Total energy ... -5.161 eV per atom
Formation energy (no corrections) ... -3.24 eV/f.u.

Here is crystalline Tb2Dy3S8 at its relaxed geometry from Alexandria. Energies are from PBE-GGA.

The structure in POSCAR format:
```
Tb2Dy3S8
1.0
6.8487 -3.9673 0.0000
6.8487 3.9673 0.0000
-2.3085 0.0000 6.2860
Tb Dy S
2 3 8
Direct
0.2372 0.2372 0.1574
0.7628 0.7628 0.8426
0.2372 0.7628 0.5000
0.5000 0.5000 0.0000
0.7628 0.2372 0.5000
0.1195 0.1195 0.4117
0.1423 0.6096 0.0858
0.3834 0.3834 0.5711
0.3904 0.8577 0.9142
0.6096 0.1423 0.0858
0.6166 0.6166 0.4289
0.8577 0.3904 0.9142
0.8805 0.8805 0.5883
```

Calculated density ... 5.162 g/cm³
Magnetization ... 0.00 μB per formula unit
Total energy ... -6.199 eV per atom
Formation energy (no corrections) ... -24.50 eV/f.u.

Here is crystalline TbDyS2 at its relaxed geometry from Alexandria. Energies are from PBE-GGA.

The structure in POSCAR format:
```
TbDyS2
1.0
3.8657 0.0000 0.0000
-1.9329 3.3478 0.0000
0.0000 0.0000 13.1938
Tb Dy S
2 2 4
Direct
0.0000 0.0000 0.0000
0.0000 0.0000 0.5000
0.3333 0.6667 0.2500
0.6667 0.3333 0.7500
0.3333 0.6667 0.6234
0.3333 0.6667 0.8766
0.6667 0.3333 0.1234
0.6667 0.3333 0.3766
```

Calculated density ... 7.499 g/cm³
Offset from the most stable computed form ... 16 meV/atom
Magnetization ... 0.00 μB per formula unit
Total energy ... -6.359 eV per atom
Formation energy (no corrections) ... -7.95 eV/f.u.

Here is crystalline TbDyS2 at its relaxed geometry from Alexandria. Energies are from PBE-GGA.

The structure in POSCAR format:
```
TbDyS2
1.0
3.8373 0.0000 0.0000
-1.9186 3.3232 0.0000
0.0000 0.0000 20.3095
Tb Dy S
3 3 6
Direct
0.0000 0.0000 0.0000
0.3333 0.6667 0.6667
0.6667 0.3333 0.3333
0.0000 0.0000 0.1784
0.3333 0.6667 0.8450
0.6667 0.3333 0.5117
0.0000 0.0000 0.5869
0.0000 0.0000 0.7576
0.3333 0.6667 0.2536
0.3333 0.6667 0.4243
0.6667 0.3333 0.0909
0.6667 0.3333 0.9203
```

Calculated density ... 7.416 g/cm³
Offset from the most stable computed form ... 33 meV/atom
Magnetization ... 0.00 μB per formula unit
Total energy ... -6.343 eV per atom
Formation energy (no corrections) ... -7.88 eV/f.u.